(1)
# NbReP2O, relaxed, DFT GGA-PBE
data_NbReP2O
_cell_length_a 4.780
_cell_length_b 4.780
_cell_length_c 3.657
_cell_angle_alpha 90.00
_cell_angle_beta 90.00
_cell_angle_gamma 90.00
_space_group_name_H-M_alt 'P 1'
_space_group_IT_number 1
loop_
_space_group_symop_operation_xyz
'x,y,z'
loop_
_atom_site_label
_atom_site_type_symbol
_atom_site_fract_x
_atom_site_fract_y
_atom_site_fract_z
_atom_site_occupancy
Nb1 Nb 0.000 0.000 0.000 1
Re1 Re 0.500 0.500 0.500 1
P1 P 0.000 0.500 0.500 1
P2 P 0.500 0.000 0.500 1
O1 O 0.500 0.500 0.000 1
# * distance to the lowest polymorph of the same formula: 0.0000 eV per atom
# * formation energy (no corrections): 0.0922 eV/atom
# * total energy: -37.83 eV for the cell shown

=====

(2)
# NbReP2O, relaxed, DFT GGA-PBE
data_NbReP2O
_cell_length_a 4.918
_cell_length_b 4.918
_cell_length_c 3.802
_cell_angle_alpha 90.00
_cell_angle_beta 90.00
_cell_angle_gamma 90.00
_space_group_name_H-M_alt 'P 1'
_space_group_IT_number 1
loop_
_space_group_symop_operation_xyz
'x,y,z'
loop_
_atom_site_label
_atom_site_type_symbol
_atom_site_fract_x
_atom_site_fract_y
_atom_site_fract_z
_atom_site_occupancy
Nb1 Nb 0.000 0.000 0.000 1
Re1 Re 0.500 0.500 0.500 1
P1 P 0.000 0.500 0.000 1
P2 P 0.500 0.000 0.000 1
O1 O 0.000 0.000 0.500 1
# * distance to the lowest polymorph of the same formula: 0.3099 eV per atom
# * formation energy (no corrections): 0.4021 eV/atom
# * total energy: -36.29 eV for the cell shown

=====

(3)
# NbPRhO2, relaxed, DFT GGA-PBE
data_NbPRhO2
_cell_length_a 3.814
_cell_length_b 3.814
_cell_length_c 4.969
_cell_angle_alpha 90.00
_cell_angle_beta 90.00
_cell_angle_gamma 90.00
_space_group_name_H-M_alt 'P 1'
_space_group_IT_number 1
loop_
_space_group_symop_operation_xyz
'x,y,z'
loop_
_atom_site_label
_atom_site_type_symbol
_atom_site_fract_x
_atom_site_fract_y
_atom_site_fract_z
_atom_site_occupancy
Nb1 Nb 0.000 0.000 0.000 1
P1 P 0.500 0.500 0.000 1
Rh1 Rh 0.500 0.500 0.500 1
O1 O 0.000 0.500 0.500 1
O2 O 0.500 0.000 0.500 1
# * distance to the lowest polymorph of the same formula: 0.8450 eV per atom
# * formation energy (no corrections): -0.0212 eV/atom
# * total energy: -32.85 eV for the cell shown

=====

(4)
# NbPRhO2, relaxed, DFT GGA-PBE
data_NbPRhO2
_cell_length_a 3.829
_cell_length_b 3.829
_cell_length_c 5.448
_cell_angle_alpha 90.00
_cell_angle_beta 90.00
_cell_angle_gamma 90.00
_space_group_name_H-M_alt 'P 1'
_space_group_IT_number 1
loop_
_space_group_symop_operation_xyz
'x,y,z'
loop_
_atom_site_label
_atom_site_type_symbol
_atom_site_fract_x
_atom_site_fract_y
_atom_site_fract_z
_atom_site_occupancy
Nb1 Nb 0.000 0.000 0.000 1
P1 P 0.000 0.000 0.500 1
Rh1 Rh 0.500 0.500 0.500 1
O1 O 0.000 0.500 0.000 1
O2 O 0.500 0.000 0.000 1
# * distance to the lowest polymorph of the same formula: 0.0000 eV per atom
# * formation energy (no corrections): -0.8662 eV/atom
# * total energy: -37.08 eV for the cell shown

=====

(5)
# NbPRuO2, relaxed, DFT GGA-PBE
data_NbPRuO2
_cell_length_a 3.754
_cell_length_b 3.754
_cell_length_c 5.223
_cell_angle_alpha 90.00
_cell_angle_beta 90.00
_cell_angle_gamma 90.00
_space_group_name_H-M_alt 'P 1'
_space_group_IT_number 1
loop_
_space_group_symop_operation_xyz
'x,y,z'
loop_
_atom_site_label
_atom_site_type_symbol
_atom_site_fract_x
_atom_site_fract_y
_atom_site_fract_z
_atom_site_occupancy
Nb1 Nb 0.000 0.000 0.000 1
P1 P 0.500 0.500 0.000 1
Ru1 Ru 0.500 0.500 0.500 1
O1 O 0.000 0.500 0.500 1
O2 O 0.500 0.000 0.500 1
# * distance to the lowest polymorph of the same formula: 0.4880 eV per atom
# * formation energy (no corrections): -0.2120 eV/atom
# * total energy: -35.73 eV for the cell shown

=====

(6)
# NbPRuO2, relaxed, DFT GGA-PBE
data_NbPRuO2
_cell_length_a 3.835
_cell_length_b 3.835
_cell_length_c 5.467
_cell_angle_alpha 90.00
_cell_angle_beta 90.00
_cell_angle_gamma 90.00
_space_group_name_H-M_alt 'P 1'
_space_group_IT_number 1
loop_
_space_group_symop_operation_xyz
'x,y,z'
loop_
_atom_site_label
_atom_site_type_symbol
_atom_site_fract_x
_atom_site_fract_y
_atom_site_fract_z
_atom_site_occupancy
Nb1 Nb 0.000 0.000 0.000 1
P1 P 0.000 0.000 0.500 1
Ru1 Ru 0.500 0.500 0.500 1
O1 O 0.000 0.500 0.000 1
O2 O 0.500 0.000 0.000 1
# * distance to the lowest polymorph of the same formula: 0.0000 eV per atom
# * formation energy (no corrections): -0.6999 eV/atom
# * total energy: -38.17 eV for the cell shown

=====

(7)
# NbP2RuO, relaxed, DFT GGA-PBE
data_NbP2RuO
_cell_length_a 4.742
_cell_length_b 4.742
_cell_length_c 3.604
_cell_angle_alpha 90.00
_cell_angle_beta 90.00
_cell_angle_gamma 90.00
_space_group_name_H-M_alt 'P 1'
_space_group_IT_number 1
loop_
_space_group_symop_operation_xyz
'x,y,z'
loop_
_atom_site_label
_atom_site_type_symbol
_atom_site_fract_x
_atom_site_fract_y
_atom_site_fract_z
_atom_site_occupancy
Nb1 Nb 0.000 0.000 0.000 1
P1 P 0.000 0.500 0.500 1
P2 P 0.500 0.000 0.500 1
Ru1 Ru 0.500 0.500 0.500 1
O1 O 0.500 0.500 0.000 1
# * distance to the lowest polymorph of the same formula: 0.0354 eV per atom
# * formation energy (no corrections): 0.2197 eV/atom
# * total energy: -34.02 eV for the cell shown

=====

(8)
# NbP2RuO, relaxed, DFT GGA-PBE
data_NbP2RuO
_cell_length_a 4.907
_cell_length_b 4.907
_cell_length_c 3.800
_cell_angle_alpha 90.00
_cell_angle_beta 90.00
_cell_angle_gamma 90.00
_space_group_name_H-M_alt 'P 1'
_space_group_IT_number 1
loop_
_space_group_symop_operation_xyz
'x,y,z'
loop_
_atom_site_label
_atom_site_type_symbol
_atom_site_fract_x
_atom_site_fract_y
_atom_site_fract_z
_atom_site_occupancy
Nb1 Nb 0.000 0.000 0.000 1
P1 P 0.000 0.500 0.000 1
P2 P 0.500 0.000 0.000 1
Ru1 Ru 0.500 0.500 0.500 1
O1 O 0.000 0.000 0.500 1
# * distance to the lowest polymorph of the same formula: 0.0000 eV per atom
# * formation energy (no corrections): 0.1843 eV/atom
# * total energy: -34.20 eV for the cell shown

=====

(9)
# NbPS2O, relaxed, DFT GGA-PBE
data_NbPS2O
_cell_length_a 4.302
_cell_length_b 4.302
_cell_length_c 3.862
_cell_angle_alpha 90.00
_cell_angle_beta 90.00
_cell_angle_gamma 90.00
_space_group_name_H-M_alt 'P 1'
_space_group_IT_number 1
loop_
_space_group_symop_operation_xyz
'x,y,z'
loop_
_atom_site_label
_atom_site_type_symbol
_atom_site_fract_x
_atom_site_fract_y
_atom_site_fract_z
_atom_site_occupancy
Nb1 Nb 0.000 0.000 0.000 1
P1 P 0.500 0.500 0.000 1
S1 S 0.000 0.500 0.500 1
S2 S 0.500 0.000 0.500 1
O1 O 0.500 0.500 0.500 1
# * distance to the lowest polymorph of the same formula: 0.0000 eV per atom
# * formation energy (no corrections): 0.4144 eV/atom
# * total energy: -26.62 eV for the cell shown

=====

(10)
# NbPSO2, relaxed, DFT GGA-PBE
data_NbPSO2
_cell_length_a 3.676
_cell_length_b 3.676
_cell_length_c 4.770
_cell_angle_alpha 90.00
_cell_angle_beta 90.00
_cell_angle_gamma 90.00
_space_group_name_H-M_alt 'P 1'
_space_group_IT_number 1
loop_
_space_group_symop_operation_xyz
'x,y,z'
loop_
_atom_site_label
_atom_site_type_symbol
_atom_site_fract_x
_atom_site_fract_y
_atom_site_fract_z
_atom_site_occupancy
Nb1 Nb 0.000 0.000 0.000 1
P1 P 0.500 0.500 0.000 1
S1 S 0.500 0.500 0.500 1
O1 O 0.000 0.500 0.500 1
O2 O 0.500 0.000 0.500 1
# * formation energy (no corrections): 0.1072 eV/atom
# * total energy: -28.99 eV for the cell shown

=====

(11)
# NbPS2O, relaxed, DFT GGA-PBE
data_NbPS2O
_cell_length_a 4.666
_cell_length_b 4.666
_cell_length_c 4.981
_cell_angle_alpha 90.00
_cell_angle_beta 90.00
_cell_angle_gamma 90.00
_space_group_name_H-M_alt 'P 1'
_space_group_IT_number 1
loop_
_space_group_symop_operation_xyz
'x,y,z'
loop_
_atom_site_label
_atom_site_type_symbol
_atom_site_fract_x
_atom_site_fract_y
_atom_site_fract_z
_atom_site_occupancy
Nb1 Nb 0.000 0.000 0.000 1
P1 P 0.000 0.000 0.500 1
S1 S 0.000 0.500 0.000 1
S2 S 0.500 0.000 0.000 1
O1 O 0.500 0.500 0.500 1
# * distance to the lowest polymorph of the same formula: 0.2036 eV per atom
# * formation energy (no corrections): 0.6180 eV/atom
# * total energy: -25.60 eV for the cell shown

=====

(12)
# NbP2SO, relaxed, DFT GGA-PBE
data_NbP2SO
_cell_length_a 3.746
_cell_length_b 3.746
_cell_length_c 5.210
_cell_angle_alpha 90.00
_cell_angle_beta 90.00
_cell_angle_gamma 90.00
_space_group_name_H-M_alt 'P 1'
_space_group_IT_number 1
loop_
_space_group_symop_operation_xyz
'x,y,z'
loop_
_atom_site_label
_atom_site_type_symbol
_atom_site_fract_x
_atom_site_fract_y
_atom_site_fract_z
_atom_site_occupancy
Nb1 Nb 0.000 0.000 0.000 1
P1 P 0.000 0.500 0.500 1
P2 P 0.500 0.000 0.500 1
S1 S 0.500 0.500 0.000 1
O1 O 0.500 0.500 0.500 1
# * distance to the lowest polymorph of the same formula: 0.2745 eV per atom
# * formation energy (no corrections): 0.2245 eV/atom
# * total energy: -28.85 eV for the cell shown

=====

no.,Fermi-level density of states (states/eV per cell)
1,5.24
2,2.16
3,5.87
4,3.36
5,4.93
6,3.89
7,6.84
8,5.70
9,2.70
10,3.95
11,9.09
12,1.86